Entry 1:
A geometry-optimized RbFeAgBr4 structure. Source: the Alexandria database, functional PBE.

## Properties
As for the space-group type: P2_1/m.

a = 6.546 Å, b = 7.786 Å, c = 9.486 Å
α = 90.00°, β = 105.79°, γ = 90.00°
Last column: magnetic moment on the atom in μB.
Positions (direct):
Br  0.047  0.495  0.713  0.08
Br  0.524  0.250  0.460  0.07
Br  0.680  0.250  0.909  0.08
Br  0.047  0.005  0.713  0.08
Br  0.476  0.750  0.540  0.07
Br  0.320  0.750  0.091  0.08
Rb  0.259  0.250  0.078  0.00
Ag  0.860  0.750  0.486  0.03
Fe  0.200  0.750  0.312  3.34
Fe  0.800  0.250  0.688  3.34
Rb  0.741  0.750  0.922  0.00
Ag  0.140  0.250  0.514  0.03
Br  0.953  0.995  0.287  0.08
Br  0.953  0.505  0.287  0.08

Entry 2:
A geometry-optimized Pm2CdGe3Pd4 structure. Source: the Alexandria database, functional PBE.

## Properties
As for the space-group type: P-4m2. The value obtained for the formation energy is -735 meV per atom.

a = 4.324 Å, b = 4.324 Å, c = 10.601 Å
α = 90.00°, β = 90.00°, γ = 90.00°
Positions (direct):
Pd  0.500  0.500  0.000
Ge  0.000  0.000  0.500
Ge  0.000  0.500  0.125
Cd  0.500  0.500  0.500
Pd  0.000  0.500  0.354
Ge  0.500  0.000  0.875
Pm  0.000  0.500  0.758
Pd  0.500  0.000  0.646
Pd  0.000  0.000  0.000
Pm  0.500  0.000  0.242

Entry 3:
A geometry-optimized AcTeAs structure. Source: the Alexandria database, functional PBE.

## Properties
The value obtained for the offset from the most stable computed form is 213 meV/atom. As for the space-group type: Cm.

a = 6.637 Å, b = 4.857 Å, c = 6.637 Å
α = 88.86°, β = 83.29°, γ = 88.86°
Positions (direct):
Ac  0.316  0.384  0.100
Te  0.822  0.243  0.082
Te  0.534  0.873  0.793
As  0.322  0.534  0.582
As  0.116  0.861  0.375
Ac  0.840  0.384  0.576

Entry 4:
A geometry-optimized YCdPd6 structure. Source: the Alexandria database, functional PBE.

## Properties
As for the space-group type: R-3m. The value obtained for the formation energy is -70 meV per atom.

a = 5.469 Å, b = 5.469 Å, c = 5.469 Å
α = 84.50°, β = 84.50°, γ = 84.50°
Positions (direct):
Pd  0.161  0.161  0.531
Y  0.000  0.000  0.000
Pd  0.161  0.531  0.161
Pd  0.469  0.839  0.839
Pd  0.531  0.161  0.161
Pd  0.839  0.839  0.469
Cd  0.500  0.500  0.500
Pd  0.839  0.469  0.839

Entry 5:
A geometry-optimized SrPtBr structure. Source: the Alexandria database, functional PBE.

## Properties
The value obtained for the offset from the most stable computed form is 199 meV/atom. As for the space-group type: F-43m.

a = 5.105 Å, b = 5.105 Å, c = 5.105 Å
α = 60.00°, β = 60.00°, γ = 60.00°
Last column: magnetic moment on the atom in μB.
Positions (direct):
Br  0.000  0.000  0.000  0.06
Pt  0.500  0.500  0.500  0.34
Sr  0.750  0.750  0.750  0.00

Entry 6:
A geometry-optimized PrBe3Pd10 structure. Source: the Alexandria database, functional PBE.

## Properties
As for the space-group type: Fm-3m. The value obtained for the formation energy is -477 meV per atom.

a = 8.451 Å, b = 8.451 Å, c = 8.451 Å
α = 60.00°, β = 60.00°, γ = 60.00°
Positions (direct):
Pd  0.385  0.385  0.846
Pd  0.000  0.336  0.664
Pd  0.615  0.615  0.154
Pd  0.846  0.385  0.385
Be  0.271  0.729  0.729
Pd  0.000  0.336  0.000
Pr  0.750  0.750  0.750
Be  0.729  0.271  0.271
Pd  0.336  0.000  0.000
Pd  0.615  0.615  0.615
Pd  0.000  0.664  0.000
Be  0.729  0.729  0.271
Pd  0.000  0.000  0.664
Pd  0.664  0.336  0.000
Pd  0.664  0.000  0.000
Be  0.271  0.271  0.729
Pd  0.154  0.615  0.615
Pd  0.336  0.000  0.664
Be  0.271  0.729  0.271
Pd  0.336  0.664  0.000
Pd  0.615  0.154  0.615
Pd  0.000  0.000  0.336
Pd  0.385  0.385  0.385
Pr  0.250  0.250  0.250
Be  0.729  0.271  0.729
Pd  0.664  0.000  0.336
Pd  0.000  0.664  0.336
Pd  0.385  0.846  0.385

Number 1: total energy -3.47 eV/atom. Number 2: total energy -5.24 eV/atom. Number 3: total energy -5.01 eV/atom. Number 4: total energy -4.89 eV/atom. Number 5: total energy -3.61 eV/atom. Number 6: total energy -5.33 eV/atom.